# Sc2H2Au

A geometry-optimized Sc2H2Au structure (PBE, OQMD via LeMat-Bulk).

Cell: 3.382 3.382 11.425 Å, 90.00 90.00 90.00°
Space group I4/mmm (No. 139)
One atom of each set of equivalent atoms:
Sc1 0.000 0.000 0.150
H1 0.000 0.500 0.250
Au1 0.000 0.000 0.500

Properties
As for the total moment: 0.01 μB per formula unit. For the electronic total energy, the calculation gives -5.279 eV/atom.



# CuSnTe

A geometry-optimized CuSnTe structure (PBE, OQMD via LeMat-Bulk).

Cell: 6.428 4.095 12.187 Å, 90.00 90.10 90.00°
Space group P2_1/m (No. 11)
One atom of each set of equivalent atoms:
Cu1 0.113 0.250 0.107
Cu2 0.386 0.750 0.607
Sn1 0.158 0.250 0.877
Sn2 0.344 0.750 0.377
Te1 0.149 0.250 0.635
Te2 0.349 0.750 0.135

Properties
For the electronic total energy, the calculation gives -3.624 eV/atom.



# Ta17W12

A geometry-optimized Ta17W12 structure (PBE, OQMD via LeMat-Bulk).

Cell: 10.091 10.091 10.091 Å, 90.00 90.00 90.00°
Space group I-43m (No. 217)
One atom of each set of equivalent atoms:
Ta1 0.000 0.000 0.000
Ta2 0.093 0.093 0.713
Ta3 0.188 0.188 0.188
W1 0.039 0.360 0.640

Properties
Its calculated formation energy is 0.19 eV/atom. As for the total moment: 0.09 μB per formula unit. For the electronic total energy, the calculation gives -12.125 eV/atom. For the energy above the most stable polymorph in this dataset, the calculation gives 342 kJ/mol of formula units.



# TbDySe6

A geometry-optimized TbDySe6 structure (PBE, OQMD via LeMat-Bulk).

Cell: 3.919 3.919 25.706 Å, 90.00 90.00 90.00°
Space group Amm2 (No. 38)
One atom of each set of equivalent atoms:
Tb1 0.000 0.000 0.000
Dy1 0.500 0.000 0.349
Se1 0.000 0.000 0.256
Se2 0.000 0.000 0.592
Se3 0.000 0.000 0.882
Se4 0.500 0.000 0.092
Se5 0.500 0.000 0.466
Se6 0.500 0.000 0.756

Properties
As for the total moment: 0.01 μB per formula unit. For the electronic total energy, the calculation gives -4.968 eV/atom.



# NaHgAu

A geometry-optimized NaHgAu structure (PBE, OQMD via LeMat-Bulk).

Cell: 6.799 6.799 6.799 Å, 90.00 90.00 90.00°
Space group F-43m (No. 216)
One atom of each set of equivalent atoms:
Na1 0.000 0.000 0.000
Hg1 0.000 0.000 0.500
Au1 0.250 0.250 0.750

Properties
For the electronic total energy, the calculation gives -1.847 eV/atom. For the energy above the most stable polymorph in this dataset, the calculation gives 0 kJ/mol of formula units.



# Tb2DyNi2B2P3

A geometry-optimized Tb2DyNi2B2P3 structure (PBE, OQMD via LeMat-Bulk).

Cell: 3.941 3.941 21.271 Å, 90.00 90.00 90.00°
Space group I4/mmm (No. 139)
One atom of each set of equivalent atoms:
Tb1 0.000 0.000 0.137
Dy1 0.000 0.000 0.500
Ni1 0.000 0.500 0.250
B1 0.000 0.000 0.281
P1 0.000 0.000 0.000
P2 0.000 0.000 0.372

Properties
As for the total moment: 0.00 μB per formula unit. For the electronic total energy, the calculation gives -6.375 eV/atom.



# TmReSb

A geometry-optimized TmReSb structure (PBE, OQMD via LeMat-Bulk).

Cell: 6.710 6.710 6.710 Å, 90.00 90.00 90.00°
Space group F-43m (No. 216)
One atom of each set of equivalent atoms:
Tm1 0.000 0.000 0.000
Re1 0.250 0.250 0.750
Sb1 0.250 0.250 0.250

Properties
As for the total moment: 0.08 μB per formula unit. For the electronic total energy, the calculation gives -6.077 eV/atom.



# Sc2Al4CuPd

A geometry-optimized Sc2Al4CuPd structure (PBE, OQMD via LeMat-Bulk).

Cell: 6.644 4.189 9.791 Å, 90.00 90.00 90.00°
Space group Amm2 (No. 38)
One atom of each set of equivalent atoms:
Sc1 0.000 0.000 0.000
Sc2 0.500 0.000 0.148
Al1 0.204 0.000 0.711
Al2 0.302 0.000 0.438
Cu1 0.500 0.000 0.869
Pd1 0.000 0.000 0.281

Properties
As for the total moment: 0.00 μB per formula unit. For the electronic total energy, the calculation gives -5.187 eV/atom.



# Nb4AlTlC2

A geometry-optimized Nb4AlTlC2 structure (PBE, OQMD via LeMat-Bulk).

Cell: 3.1811 3.1811 14.2291 Å, 90.00 90.00 120.00°
Space group P-6m2 (No. 187)
One atom of each set of equivalent atoms:
Nb1 0.0000 0.0000 0.1557
Nb2 0.6667 0.3333 0.3260
Al1 0.6667 0.3333 0.0000
Tl1 0.0000 0.0000 0.5000
C1 0.3333 0.6667 0.2416

Properties
As for the total moment: 0.00 μB per formula unit. For the electronic total energy, the calculation gives -8.499 eV/atom.



# ErZnB

A geometry-optimized ErZnB structure (PBE, OQMD via LeMat-Bulk).

Cell: 5.826 5.826 5.826 Å, 90.00 90.00 90.00°
Space group F-43m (No. 216)
One atom of each set of equivalent atoms:
Er1 0.000 0.000 0.000
Zn1 0.000 0.000 0.500
B1 0.250 0.250 0.250

Properties
As for the total moment: 0.00 μB per formula unit. For the electronic total energy, the calculation gives -4.374 eV/atom. For the energy above the most stable polymorph in this dataset, the calculation gives 0 kJ/mol of formula units.



# Sm2TcH6

A geometry-optimized Sm2TcH6 structure (PBE, OQMD via LeMat-Bulk).

Cell: 7.229 7.229 7.229 Å, 90.00 90.00 90.00°
Space group Fm-3m (No. 225)
One atom of each set of equivalent atoms:
Sm1 0.250 0.250 0.250
Tc1 0.000 0.000 0.000
H1 0.000 0.000 0.248

Properties
As for the total moment: 0.03 μB per formula unit. For the electronic total energy, the calculation gives -4.967 eV/atom.



# TaGaMoC

A geometry-optimized TaGaMoC structure (PBE, OQMD via LeMat-Bulk).

Cell: 3.1244 3.1244 13.2713 Å, 90.00 90.00 120.00°
Space group P-6m2 (No. 187)
One atom of each set of equivalent atoms:
Ta1 0.0000 0.0000 0.1631
Ga1 0.0000 0.0000 0.5000
Ga2 0.3333 0.6667 0.0000
Mo1 0.3333 0.6667 0.3400
C1 0.6667 0.3333 0.2554

Properties
As for the total moment: 0.00 μB per formula unit. For the electronic total energy, the calculation gives -9.052 eV/atom. For the energy above the most stable polymorph in this dataset, the calculation gives 2 kJ/mol of formula units.



What did we get for mass density? Answer: 7.3 6.4 17.1 6.7 8.9 7.2 10.5 4.5 8.3 8.2 7.1 10.6 g/cm³, in the order shown.